{
  "formula": "Li6V3P8O29",
  "functional": "PBE with a Hubbard U",
  "state": "optimized geometry",
  "e_above_lowest_polymorph_mev_per_atom": 4,
  "total_energy_ev_per_atom": -7.021,
  "sg": "No. 2",
  "lattice_angstrom": [[9.818, 0.005, 0.117], [4.900, 8.509, 0.013], [0.253, -0.056, 13.990]],
  "species": ["Li", "Li", "Li", "Li", "Li", "Li", "Li", "Li", "Li", "Li", "Li", "Li", "V", "V", "V", "V", "V", "V", "P", "P", "P", "P", "P", "P", "P", "P", "P", "P", "P", "P", "P", "P", "P", "P", "O", "O", "O", "O", "O", "O", "O", "O", "O", "O", "O", "O", "O", "O", "O", "O", "O", "O", "O", "O", "O", "O", "O", "O", "O", "O", "O", "O", "O", "O", "O", "O", "O", "O", "O", "O", "O", "O", "O", "O", "O", "O", "O", "O", "O", "O", "O", "O", "O", "O", "O", "O", "O", "O", "O", "O", "O", "O"],
  "fractional_positions": [[0.687, 0.095, 0.444], [0.244, 0.643, 0.438], [0.352, 0.337, 0.113], [0.078, 0.687, 0.938], [0.219, 0.092, 0.936], [0.916, 0.772, 0.562], [0.084, 0.228, 0.438], [0.781, 0.908, 0.064], [0.922, 0.313, 0.062], [0.648, 0.663, 0.887], [0.756, 0.357, 0.562], [0.313, 0.905, 0.556], [0.995, 0.573, 0.748], [0.005, 0.427, 0.252], [0.573, 0.997, 0.256], [0.427, 0.003, 0.744], [0.559, 0.434, 0.762], [0.441, 0.566, 0.238], [0.702, 0.217, 0.165], [0.684, 0.091, 0.663], [0.241, 0.674, 0.652], [0.317, 0.339, 0.875], [0.331, 0.340, 0.371], [0.099, 0.672, 0.155], [0.918, 0.763, 0.341], [0.244, 0.089, 0.155], [0.756, 0.911, 0.845], [0.082, 0.237, 0.659], [0.901, 0.328, 0.845], [0.669, 0.660, 0.629], [0.683, 0.661, 0.125], [0.759, 0.326, 0.348], [0.316, 0.909, 0.337], [0.298, 0.783, 0.835], [0.746, 0.258, 0.443], [0.669, 0.254, 0.664], [0.739, 0.989, 0.938], [0.674, 0.073, 0.167], [0.536, 0.366, 0.164], [0.469, 0.340, 0.833], [0.384, 0.516, 0.675], [0.188, 0.796, 0.914], [0.262, 0.656, 0.151], [0.488, 0.180, 0.345], [0.521, 0.101, 0.679], [0.336, 0.477, 0.313], [0.314, 0.343, 0.982], [0.316, 0.381, 0.475], [0.173, 0.491, 0.836], [0.382, 0.117, 0.180], [0.321, 0.189, 0.835], [0.085, 0.668, 0.659], [0.008, 0.782, 0.249], [0.007, 0.748, 0.430], [0.000, 0.747, 0.070], [0.122, 0.506, 0.176], [0.187, 0.325, 0.337], [0.910, 0.747, 0.837], [0.096, 0.385, 0.678], [0.247, 0.088, 0.655], [0.780, 0.005, 0.757], [0.765, 0.998, 0.574], [0.235, 0.002, 0.426], [0.753, 0.912, 0.345], [0.904, 0.615, 0.322], [0.090, 0.253, 0.163], [0.813, 0.675, 0.663], [0.878, 0.494, 0.824], [0.000, 0.253, 0.930], [0.993, 0.252, 0.570], [0.992, 0.218, 0.751], [0.915, 0.332, 0.341], [0.679, 0.811, 0.165], [0.618, 0.883, 0.820], [0.827, 0.509, 0.164], [0.686, 0.657, 0.018], [0.684, 0.619, 0.525], [0.664, 0.523, 0.687], [0.479, 0.899, 0.321], [0.512, 0.820, 0.655], [0.738, 0.344, 0.849], [0.779, 0.202, 0.267], [0.812, 0.204, 0.086], [0.616, 0.484, 0.325], [0.531, 0.660, 0.167], [0.464, 0.634, 0.836], [0.326, 0.927, 0.833], [0.261, 0.011, 0.062], [0.220, 0.995, 0.243], [0.331, 0.746, 0.336], [0.254, 0.742, 0.557], [0.221, 0.798, 0.733]]
}